Compound: Gd2AlCu
Source: the Alexandria database
Functional: PBE
Structure: relaxed

Cell: 3.3988 3.3988 30.8741 Å, 90.00 90.00 120.00°
Closest atoms and distances in Å follow each position.
Positions (direct):
Gd1 0.0000 0.0000 0.0912  1 Cu 2.82, 3 Al 3.05
Gd2 0.0000 0.0000 0.9088  1 Cu 2.82, 3 Al 3.05
Gd3 0.3333 0.6667 0.5754  1 Cu 2.82, 3 Al 3.05
Gd4 0.3333 0.6667 0.7579  1 Cu 2.82, 3 Al 3.05
Gd5 0.6667 0.3333 0.2421  1 Cu 2.82, 3 Al 3.05
Gd6 0.6667 0.3333 0.4246  1 Cu 2.82, 3 Al 3.05
Al1 0.0000 0.0000 0.5000  6 Gd 3.05, 6 Al 3.40
Al2 0.3333 0.6667 0.1667  6 Gd 3.05, 6 Al 3.40
Al3 0.6667 0.3333 0.8333  6 Gd 3.05, 6 Al 3.40
Cu1 0.0000 0.0000 0.0000  2 Gd 2.82
Cu2 0.3333 0.6667 0.6667  2 Gd 2.82
Cu3 0.6667 0.3333 0.3333  2 Gd 2.82

SG: No. 166
ρ, g cm⁻³: 6.532



Compound: GdAl3Cu
Source: the Alexandria database
Functional: PBE
Structure: relaxed

Cell: 4.1572 4.1572 10.7521 Å, 90.00 90.00 90.00°
Closest atoms and distances in Å follow each position.
Positions (direct):
Gd1 0.0000 0.0000 0.0000  12 Al 3.11-3.42, 4 Cu 3.23
Gd2 0.5000 0.5000 0.5000  12 Al 3.11-3.42, 4 Cu 3.23
Al1 0.0000 0.0000 0.4047  1 Cu 2.37
Al2 0.0000 0.5000 0.2470  2 Cu 2.46, 2 Al 2.68
Al3 0.0000 0.5000 0.7470  2 Cu 2.46, 2 Al 2.68
Al4 0.5000 0.0000 0.2470  2 Cu 2.46, 2 Al 2.68
Al5 0.5000 0.0000 0.7470  2 Cu 2.46, 2 Al 2.68
Al6 0.5000 0.5000 0.9047  1 Cu 2.37
Cu1 0.0000 0.0000 0.6247  5 Al 2.37-2.46
Cu2 0.5000 0.5000 0.1247  5 Al 2.37-2.46

SG: No. 107
ρ, g cm⁻³: 5.393



Compound: Gd2AlCu
Source: the Alexandria database
Functional: PBE
Structure: relaxed

Cell: 3.4942 3.4942 7.5022 Å, 90.00 90.00 90.00°
Closest atoms and distances in Å follow each position.
Positions (direct):
Gd1 0.0000 0.0000 0.2360  4 Cu 3.04, 4 Al 3.17
Gd2 0.0000 0.0000 0.7640  4 Cu 3.04, 4 Al 3.17
Al1 0.5000 0.5000 0.5000  8 Gd 3.17, 4 Al 3.49
Cu1 0.5000 0.5000 0.0000  8 Gd 3.04

SG: No. 123
ρ, g cm⁻³: 7.342



Compound: GdAl6Cu6
Source: the Alexandria database
Functional: PBE
Structure: relaxed

Cell: 6.6425 6.6425 6.6425 Å, 134.94 99.03 97.86°
Closest atoms and distances in Å follow each position.
Positions (direct):
Gd1 0.0000 0.0000 0.0000  8 Al 2.99-3.10, 12 Cu 3.23-3.32
Al1 0.2028 0.7028 0.5000  6 Cu 2.54-2.67
Al2 0.3468 0.0000 0.3468  3 Al 2.64-2.91, 6 Cu 2.66-2.73
Al3 0.3493 0.3493 0.0000  3 Al 2.63-2.85, 6 Cu 2.65-2.67
Al4 0.6507 0.6507 0.0000  3 Al 2.63-2.85, 6 Cu 2.65-2.67
Al5 0.6532 0.0000 0.6532  3 Al 2.64-2.91, 6 Cu 2.66-2.73
Al6 0.7972 0.2972 0.5000  6 Cu 2.54-2.67
Cu1 0.0000 0.0000 0.5000  4 Cu 2.53-2.55, 6 Al 2.54-2.66
Cu2 0.0000 0.5000 0.0000  4 Cu 2.53-2.55, 6 Al 2.54-2.66
Cu3 0.2311 0.5000 0.7311  4 Cu 2.53, 6 Al 2.67-2.73
Cu4 0.5000 0.0000 0.0000  4 Cu 2.53-2.55, 6 Al 2.54-2.66
Cu5 0.5000 0.5000 0.5000  4 Cu 2.53-2.55, 6 Al 2.54-2.66
Cu6 0.7689 0.5000 0.2689  4 Cu 2.53, 6 Al 2.67-2.73

SG: No. 71
ρ, g cm⁻³: 6.070



Compound: GdHfAlCu
Source: the Alexandria database
Functional: PBE
Structure: relaxed

Cell: 6.8858 6.8858 6.8858 Å, 90.00 90.00 90.00°
Closest atoms and distances in Å follow each position.
Positions (direct):
Gd1 0.0000 0.0000 0.0000  4 Al 2.98, 4 Cu 2.98
Gd2 0.0000 0.5000 0.5000  4 Al 2.98, 4 Cu 2.98
Gd3 0.5000 0.0000 0.5000  4 Al 2.98, 4 Cu 2.98
Gd4 0.5000 0.5000 0.0000  4 Al 2.98, 4 Cu 2.98
Hf1 0.0000 0.0000 0.5000  4 Al 2.98, 4 Cu 2.98
Hf2 0.0000 0.5000 0.0000  4 Al 2.98, 4 Cu 2.98
Hf3 0.5000 0.0000 0.0000  4 Al 2.98, 4 Cu 2.98
Hf4 0.5000 0.5000 0.5000  4 Al 2.98, 4 Cu 2.98
Al1 0.2500 0.2500 0.2500  4 Hf 2.98, 4 Gd 2.98
Al2 0.2500 0.7500 0.7500  4 Hf 2.98, 4 Gd 2.98
Al3 0.7500 0.2500 0.7500  4 Hf 2.98, 4 Gd 2.98
Al4 0.7500 0.7500 0.2500  4 Hf 2.98, 4 Gd 2.98
Cu1 0.2500 0.2500 0.7500  4 Hf 2.98, 4 Gd 2.98
Cu2 0.2500 0.7500 0.2500  4 Hf 2.98, 4 Gd 2.98
Cu3 0.7500 0.2500 0.2500  4 Hf 2.98, 4 Gd 2.98
Cu4 0.7500 0.7500 0.7500  4 Hf 2.98, 4 Gd 2.98

SG: No. 216
ρ, g cm⁻³: 8.672



Compound: GdAlCuHg
Source: the Alexandria database
Functional: PBE
Structure: relaxed

Cell: 6.8518 6.8518 6.8518 Å, 90.00 90.00 90.00°
Closest atoms and distances in Å follow each position.
Positions (direct):
Gd1 0.0000 0.0000 0.0000  4 Cu 2.97, 4 Hg 2.97
Gd2 0.0000 0.5000 0.5000  4 Cu 2.97, 4 Hg 2.97
Gd3 0.5000 0.0000 0.5000  4 Cu 2.97, 4 Hg 2.97
Gd4 0.5000 0.5000 0.0000  4 Cu 2.97, 4 Hg 2.97
Al1 0.0000 0.0000 0.5000  4 Hg 2.97, 4 Cu 2.97
Al2 0.0000 0.5000 0.0000  4 Hg 2.97, 4 Cu 2.97
Al3 0.5000 0.0000 0.0000  4 Hg 2.97, 4 Cu 2.97
Al4 0.5000 0.5000 0.5000  4 Hg 2.97, 4 Cu 2.97
Cu1 0.2500 0.2500 0.7500  4 Gd 2.97, 4 Al 2.97
Cu2 0.2500 0.7500 0.2500  4 Gd 2.97, 4 Al 2.97
Cu3 0.7500 0.2500 0.2500  4 Gd 2.97, 4 Al 2.97
Cu4 0.7500 0.7500 0.7500  4 Gd 2.97, 4 Al 2.97
Hg1 0.2500 0.2500 0.2500  4 Gd 2.97, 4 Al 2.97
Hg2 0.2500 0.7500 0.7500  4 Gd 2.97, 4 Al 2.97
Hg3 0.7500 0.2500 0.7500  4 Gd 2.97, 4 Al 2.97
Hg4 0.7500 0.7500 0.2500  4 Gd 2.97, 4 Al 2.97

SG: No. 216
ρ, g cm⁻³: 9.258



no.,calculated formation energy (eV/f.u.),E_tot (eV/atom)
1,1.32,-8.669
2,-2.26,-6.333
3,-1.22,-9.305
4,-4.62,-5.056
5,-0.57,-8.111
6,-1.04,-5.815